1.
Below is a geometry-optimized SrTa2Os structure, with properties calculated at the PBE level.

## Properties
formation energy from the elements = 0.48 eV/atom
polymorph energy (0 for the lowest one) = 0.53 eV/f.u.
M_tot = 0.00 μB/f.u.

abc: 5.7339 5.7339 5.4521
angles: 71.94 71.94 31.67
Positions (direct):
Os: 0.7500 0.7500 0.7500
Sr: 0.2500 0.2500 0.2500
Ta: 0.0497 0.0497 0.9109
Ta: 0.4503 0.4503 0.5891

2.
Below is a geometry-optimized SrTaV2Os structure, with properties calculated at the PBE level.

## Properties
formation energy from the elements = 2.15 eV/atom
M_tot = 0.00 μB/f.u.

abc: 4.5680 5.4705 4.5680
angles: 90.00 90.00 90.00
Positions (direct):
Sr: 0.0000 0.5000 0.0000
V: 0.0000 0.0000 0.5000
V: 0.5000 0.0000 0.0000
Os: 0.5000 0.5000 0.5000
Ta: 0.0000 0.0000 0.0000